Record 1
MnGaReSb2 | GGA-PBE | relaxed

Cell lengths 5.2001, 5.2001, 4.8577 Å; angles 90.00, 90.00, 90.00 degrees
Fractional coordinates of all 5 atoms:
1 Mn 0.0000 0.0000 0.0000
2 Ga 0.5000 0.5000 0.0000
3 Re 0.5000 0.5000 0.5000
4 Sb 0.0000 0.5000 0.5000
5 Sb 0.5000 0.0000 0.5000

Calculated values
* space group: No. 123
* VASP energy: -28.99 eV per cell

Record 2
La3PbO | GGA-PBE | relaxed

Cell lengths 9.3404, 9.3404, 6.5957 Å; angles 92.95, 92.95, 98.02 degrees
Fractional coordinates of all 20 atoms:
1 La 0.0535 0.7496 0.9277
2 La 0.1908 0.5817 0.4011
3 La 0.2504 0.9465 0.5723
4 La 0.3165 0.4555 0.8996
5 La 0.4183 0.8092 0.0989
6 La 0.4555 0.3165 0.3996
7 La 0.5445 0.6835 0.6004
8 La 0.5817 0.1908 0.9011
9 La 0.6835 0.5445 0.1004
10 La 0.7496 0.0535 0.4277
11 La 0.8092 0.4183 0.5989
12 La 0.9465 0.2504 0.0723
13 Pb 0.0953 0.2473 0.5581
14 Pb 0.2473 0.0953 0.0581
15 Pb 0.7527 0.9047 0.9419
16 Pb 0.9047 0.7527 0.4419
17 O 0.2931 0.7069 0.7500
18 O 0.4347 0.5653 0.2500
19 O 0.5653 0.4347 0.7500
20 O 0.7069 0.2931 0.2500

Calculated values
* space group: No. 15
* VASP energy: -119.68 eV per cell

Record 3
BaInC2 | GGA-PBE | relaxed

Cell lengths 7.7846, 7.7846, 7.7846 Å; angles 142.47, 142.47, 54.12 degrees
Fractional coordinates of all 8 atoms:
1 Ba 0.0000 0.0000 0.0000
2 Ba 0.7500 0.2500 0.5000
3 In 0.2500 0.7500 0.5000
4 In 0.5000 0.5000 0.0000
5 C 0.2647 0.6250 0.1397
6 C 0.3750 0.5147 0.6397
7 C 0.4853 0.1250 0.8603
8 C 0.8750 0.7353 0.3603

Calculated values
* energy relative to the elements: 5.384 eV per formula unit
* space group: No. 122
* VASP energy: -35.45 eV per cell

Record 4
LiLa2ScS4 | GGA-PBE | relaxed

Cell lengths 6.7391, 3.9777, 6.9132 Å; angles 90.00, 109.81, 90.00 degrees
Fractional coordinates of all 8 atoms:
1 Li 0.0000 0.0000 0.0000
2 La 0.5000 0.0000 0.5000
3 La 0.5000 0.5000 0.0000
4 Sc 0.0000 0.5000 0.5000
5 S 0.2194 0.0000 0.7378
6 S 0.2223 0.5000 0.2455
7 S 0.7777 0.5000 0.7545
8 S 0.7806 0.0000 0.2622

Calculated values
* space group: No. 10
* VASP energy: -49.89 eV per cell

Among the records above, which one has the lowest VASP energy? La3PbO